The following is a GGA-PBEsol calculation of crystalline InTe2RuI at its relaxed geometry, from the Alexandria database.

Values from the calculation:
Energy relative to the elements, uncorrected = 1.29 eV per formula unit

a b c (Å): 5.094 5.094 5.697
angles (deg): 90.00 90.00 90.00
Fractional positions:
In 0.000 0.000 0.000
Te 0.000 0.500 0.500
Te 0.500 0.000 0.500
Ru 0.500 0.500 0.500
I 0.500 0.500 0.000